DFT (PBE with a Hubbard U) results for a relaxed Na2NiSO6 crystal.

POSCAR file:
```
Na2NiSO6
1.0
5.410 0.000 0.000
-2.705 4.685 0.000
0.000 0.000 4.743
Na Ni S O
2 1 1 6
Direct
0.333 0.667 0.336
0.667 0.333 0.664
0.000 0.000 0.000
0.000 0.000 0.500
0.142 0.283 0.717
0.142 0.858 0.717
0.283 0.142 0.283
0.717 0.858 0.717
0.858 0.142 0.283
0.858 0.717 0.283
```

Calculated values
Magnetic moment, Bohr magnetons per cell: 0.0
Crystal system: trigonal
Energy, Ry per atom: -0.36154